(1)
{"formula": "GaSnN", "functional": "PBE", "state": "relaxed", "lattice_angstrom": [[7.063, -1.634, 0.000], [7.063, 1.634, 0.000], [-1.726, 0.000, 5.021]], "species": ["Ga", "Ga", "Sn", "Sn", "N", "N"], "fractional_positions": [[0.000, 0.000, 0.000], [0.574, 0.574, 0.570], [0.252, 0.252, 0.434], [0.798, 0.798, 0.971], [0.086, 0.086, 0.382], [0.516, 0.516, 0.835]], "e_form_raw_ev_per_atom": -0.001, "crystal_system": "monoclinic", "polymorph_energy_mev_per_atom": 32, "density_g_cm3": 5.800}

***

(2)
{"formula": "La3In3Sn2", "functional": "PBE", "state": "relaxed", "lattice_angstrom": [[2.367, -6.088, 0.000], [2.367, 6.088, 0.000], [0.000, 0.000, 16.561]], "species": ["La", "La", "La", "La", "La", "La", "In", "In", "In", "In", "In", "In", "Sn", "Sn", "Sn", "Sn"], "fractional_positions": [[0.057, 0.943, 0.611], [0.057, 0.943, 0.889], [0.331, 0.669, 0.750], [0.669, 0.331, 0.250], [0.943, 0.057, 0.111], [0.943, 0.057, 0.389], [0.377, 0.623, 0.537], [0.377, 0.623, 0.963], [0.402, 0.598, 0.250], [0.598, 0.402, 0.750], [0.623, 0.377, 0.037], [0.623, 0.377, 0.463], [0.232, 0.768, 0.115], [0.232, 0.768, 0.385], [0.768, 0.232, 0.615], [0.768, 0.232, 0.885]], "crystal_system": "orthorhombic", "density_g_cm3": 6.949, "formation_enthalpy_0k_ev_per_atom": -0.570}

***

(3)
{"formula": "NbNi2Os", "functional": "PBE", "state": "relaxed", "lattice_angstrom": [[0.000, 3.003, 3.003], [3.003, 0.000, 3.003], [3.003, 3.003, 0.000]], "species": ["Nb", "Ni", "Ni", "Os"], "fractional_positions": [[0.000, 0.000, 0.000], [0.250, 0.250, 0.250], [0.750, 0.750, 0.750], [0.500, 0.500, 0.500]], "crystal_system": "cubic", "polymorph_energy_mev_per_atom": 258, "density_g_cm3": 12.276, "formation_enthalpy_0k_ev_per_atom": 0.081}

***

(4)
{"formula": "MnCo2Cu", "functional": "PBE", "state": "relaxed", "lattice_angstrom": [[0.000, 2.875, 2.875], [2.875, 0.000, 2.875], [2.875, 2.875, 0.000]], "species": ["Mn", "Co", "Co", "Cu"], "fractional_positions": [[0.000, 0.000, 0.000], [0.500, 0.500, 0.500], [0.750, 0.750, 0.750], [0.250, 0.250, 0.250]], "crystal_system": "cubic", "density_g_cm3": 8.256, "formation_enthalpy_0k_ev_per_atom": 0.143}

***

(5)
{"formula": "LiAcScGa", "functional": "PBE", "state": "relaxed", "lattice_angstrom": [[0.000, 3.705, 3.705], [3.705, 0.000, 3.705], [3.705, 3.705, 0.000]], "species": ["Li", "Ac", "Sc", "Ga"], "fractional_positions": [[0.000, 0.000, 0.000], [0.750, 0.750, 0.750], [0.250, 0.250, 0.250], [0.500, 0.500, 0.500]], "crystal_system": "cubic", "density_g_cm3": 5.692, "formation_enthalpy_0k_ev_per_atom": -0.183}

***

(6)
{"formula": "Li2ZrCu", "functional": "PBE", "state": "relaxed", "lattice_angstrom": [[4.656, 0.000, 0.000], [0.000, 4.656, 0.000], [0.000, 0.000, 3.002]], "species": ["Li", "Li", "Zr", "Cu"], "fractional_positions": [[0.000, 0.500, 0.000], [0.500, 0.000, 0.000], [0.000, 0.000, 0.500], [0.500, 0.500, 0.500]], "crystal_system": "tetragonal", "polymorph_energy_mev_per_atom": 332, "density_g_cm3": 4.305, "formation_enthalpy_0k_ev_per_atom": 0.391}

***

(7)
{"formula": "LiMgTc2C", "functional": "PBE", "state": "relaxed", "lattice_angstrom": [[4.038, 0.000, 0.000], [0.000, 4.038, 0.000], [0.000, 0.000, 4.254]], "species": ["Li", "Mg", "Tc", "Tc", "C"], "fractional_positions": [[0.000, 0.000, 0.000], [0.500, 0.500, 0.000], [0.000, 0.500, 0.500], [0.500, 0.000, 0.500], [0.000, 0.000, 0.500]], "crystal_system": "tetragonal", "density_g_cm3": 5.728, "formation_enthalpy_0k_ev_per_atom": 0.147}

***

(8)
{"formula": "KAl2Re", "functional": "PBE", "state": "relaxed", "lattice_angstrom": [[-2.870, 2.870, 7.958], [2.870, -2.870, 7.958], [2.870, 2.870, -7.958]], "species": ["K", "K", "Al", "Al", "Al", "Al", "Re", "Re"], "fractional_positions": [[0.375, 0.625, 0.750], [0.625, 0.375, 0.250], [0.000, 0.000, 0.000], [0.000, 0.000, 0.500], [0.000, 0.500, 0.000], [0.500, 0.000, 0.500], [0.125, 0.875, 0.250], [0.875, 0.125, 0.750]], "crystal_system": "tetragonal", "polymorph_energy_mev_per_atom": 624, "density_g_cm3": 3.537, "formation_enthalpy_0k_ev_per_atom": 0.861}

***

no.,VASP energy (eV per atom),DOS at the Fermi energy (states/eV/f.u.)
1,-5.12,1.02
2,-4.45,6.89
3,-8.13,6.24
4,-6.73,3.63
5,-4.03,4.00
6,-3.73,3.12
7,-6.55,4.41
8,-4.40,4.78